# Te2PWI

A relaxed Te2PWI crystal (PBE-GGA, Alexandria via LeMat-Bulk).

Lattice parameters (Å, degrees): 5.2684 5.2684 5.7052 90.00 90.00 90.00
Space group P4/mmm (No. 123)
Inequivalent atoms, fractional coordinates:
1 Te 0.0000 0.5000 0.0000
2 P 0.0000 0.0000 0.5000
3 W 0.5000 0.5000 0.0000
4 I 0.5000 0.5000 0.5000

For the calculated volume, the calculation gives 158.4 Å³ per cell. For the density, the calculation gives 6259 kg/m³. Its total energy is -4.195 eV/atom.

# TePWI2

A relaxed TePWI2 crystal (PBE-GGA, Alexandria via LeMat-Bulk).

Lattice parameters (Å, degrees): 5.2733 5.2733 5.5271 90.00 90.00 90.00
Space group P4/mmm (No. 123)
Inequivalent atoms, fractional coordinates:
1 Te 0.0000 0.0000 0.0000
2 P 0.0000 0.0000 0.5000
3 W 0.5000 0.5000 0.0000
4 I 0.0000 0.5000 0.5000

For the calculated volume, the calculation gives 153.7 Å³ per cell. For the density, the calculation gives 6442 kg/m³. Its total energy is -3.477 eV/atom.

# YTePI2

A relaxed YTePI2 crystal (PBE-GGA, Alexandria via LeMat-Bulk).

Lattice parameters (Å, degrees): 5.3351 5.3351 5.5152 90.00 90.00 90.00
Space group P4/mmm (No. 123)
Inequivalent atoms, fractional coordinates:
1 Y 0.0000 0.0000 0.0000
2 Te 0.5000 0.5000 0.0000
3 P 0.5000 0.5000 0.5000
4 I 0.0000 0.5000 0.5000

For the calculated volume, the calculation gives 157.0 Å³ per cell. For the density, the calculation gives 5303 kg/m³. Its total energy is -3.596 eV/atom.

# YTe2PI

A relaxed YTe2PI crystal (PBE-GGA, Alexandria via LeMat-Bulk).

Lattice parameters (Å, degrees): 5.3764 5.3764 5.1825 90.00 90.00 90.00
Space group P4/mmm (No. 123)
Inequivalent atoms, fractional coordinates:
1 Y 0.0000 0.0000 0.0000
2 Te 0.0000 0.5000 0.5000
3 P 0.5000 0.5000 0.5000
4 I 0.5000 0.5000 0.0000

For the calculated volume, the calculation gives 149.8 Å³ per cell. For the density, the calculation gives 5564 kg/m³. Its total energy is -4.066 eV/atom.

# YTePI2

A relaxed YTePI2 crystal (PBE-GGA, Alexandria via LeMat-Bulk).

Lattice parameters (Å, degrees): 5.9553 5.9553 6.0908 90.00 90.00 90.00
Space group P4/mmm (No. 123)
Inequivalent atoms, fractional coordinates:
1 Y 0.0000 0.0000 0.0000
2 Te 0.0000 0.0000 0.5000
3 P 0.5000 0.5000 0.5000
4 I 0.0000 0.5000 0.0000

For the calculated volume, the calculation gives 216.0 Å³ per cell. For the density, the calculation gives 3853 kg/m³. Its total energy is -3.675 eV/atom.

# YTe2PI

A relaxed YTe2PI crystal (PBE-GGA, Alexandria via LeMat-Bulk).

Lattice parameters (Å, degrees): 5.9460 5.9460 5.9241 90.00 90.00 90.00
Space group P4/mmm (No. 123)
Inequivalent atoms, fractional coordinates:
1 Y 0.0000 0.0000 0.0000
2 Te 0.0000 0.5000 0.0000
3 P 0.5000 0.5000 0.5000
4 I 0.0000 0.0000 0.5000

For the calculated volume, the calculation gives 209.4 Å³ per cell. For the density, the calculation gives 3980 kg/m³. Its total energy is -3.753 eV/atom.

# ZnTePI2

A relaxed ZnTePI2 crystal (PBE-GGA, Alexandria via LeMat-Bulk).

Lattice parameters (Å, degrees): 5.4627 5.4627 5.6024 90.00 90.00 90.00
Space group P4/mmm (No. 123)
Inequivalent atoms, fractional coordinates:
1 Zn 0.0000 0.0000 0.0000
2 Te 0.0000 0.0000 0.5000
3 P 0.5000 0.5000 0.5000
4 I 0.0000 0.5000 0.0000

For the calculated volume, the calculation gives 167.2 Å³ per cell. For the density, the calculation gives 4746 kg/m³. Its total energy is -1.892 eV/atom.

# ZnTePI2

A relaxed ZnTePI2 crystal (PBE-GGA, Alexandria via LeMat-Bulk).

Lattice parameters (Å, degrees): 5.4533 5.4533 5.4595 90.00 90.00 90.00
Space group P4/mmm (No. 123)
Inequivalent atoms, fractional coordinates:
1 Zn 0.0000 0.0000 0.0000
2 Te 0.5000 0.5000 0.0000
3 P 0.5000 0.5000 0.5000
4 I 0.0000 0.5000 0.5000

For the calculated volume, the calculation gives 162.4 Å³ per cell. For the density, the calculation gives 4887 kg/m³. Its total energy is -2.181 eV/atom.

# ZrTe2PI

A relaxed ZrTe2PI crystal (PBE-GGA, Alexandria via LeMat-Bulk).

Lattice parameters (Å, degrees): 5.6114 5.6114 5.8316 90.00 90.00 90.00
Space group P4/mmm (No. 123)
Inequivalent atoms, fractional coordinates:
1 Zr 0.0000 0.0000 0.0000
2 Te 0.0000 0.5000 0.0000
3 P 0.5000 0.5000 0.5000
4 I 0.0000 0.0000 0.5000

For the calculated volume, the calculation gives 183.6 Å³ per cell. For the density, the calculation gives 4560 kg/m³. Its total energy is -4.047 eV/atom.

# ZrTePI2

A relaxed ZrTePI2 crystal (PBE-GGA, Alexandria via LeMat-Bulk).

Lattice parameters (Å, degrees): 5.2659 5.2659 5.4697 90.00 90.00 90.00
Space group P4/mmm (No. 123)
Inequivalent atoms, fractional coordinates:
1 Zr 0.0000 0.0000 0.0000
2 Te 0.5000 0.5000 0.0000
3 P 0.5000 0.5000 0.5000
4 I 0.0000 0.5000 0.5000

For the calculated volume, the calculation gives 151.7 Å³ per cell. For the density, the calculation gives 5514 kg/m³. Its total energy is -3.489 eV/atom.

# ZrTe2PI

A relaxed ZrTe2PI crystal (PBE-GGA, Alexandria via LeMat-Bulk).

Lattice parameters (Å, degrees): 5.2773 5.2773 5.1356 90.00 90.00 90.00
Space group P4/mmm (No. 123)
Inequivalent atoms, fractional coordinates:
1 Zr 0.0000 0.0000 0.0000
2 Te 0.0000 0.5000 0.5000
3 P 0.5000 0.5000 0.5000
4 I 0.5000 0.5000 0.0000

For the calculated volume, the calculation gives 143.0 Å³ per cell. For the density, the calculation gives 5855 kg/m³. Its total energy is -3.895 eV/atom.

# ZrTePI2

A relaxed ZrTePI2 crystal (PBE-GGA, Alexandria via LeMat-Bulk).

Lattice parameters (Å, degrees): 5.8278 5.8278 5.5959 90.00 90.00 90.00
Space group P4/mmm (No. 123)
Inequivalent atoms, fractional coordinates:
1 Zr 0.0000 0.0000 0.0000
2 Te 0.0000 0.0000 0.5000
3 P 0.5000 0.5000 0.5000
4 I 0.0000 0.5000 0.0000

For the calculated volume, the calculation gives 190.1 Å³ per cell. For the density, the calculation gives 4400 kg/m³. Its total energy is -3.833 eV/atom.

# Th2PI2

A relaxed Th2PI2 crystal (PBE-GGA, Alexandria via LeMat-Bulk).

Lattice parameters (Å, degrees): 4.2266 4.2266 34.6713 90.00 90.00 120.00
Space group R-3m (No. 166, hexagonal axes)
Inequivalent atoms, fractional coordinates:
1 Th 0.0000 0.0000 0.1241
2 P 0.0000 0.0000 0.5000
3 I 0.0000 0.0000 0.2724

For the calculated volume, the calculation gives 536.4 Å³ per cell. For the density, the calculation gives 6955 kg/m³. Its total energy is -6.016 eV/atom.

# Th2PI3

A relaxed Th2PI3 crystal (PBE-GGA, Alexandria via LeMat-Bulk).

Lattice parameters (Å, degrees): 18.5259 4.6429 12.7708 90.00 119.88 90.00
Space group C2/m (No. 12)
Inequivalent atoms, fractional coordinates:
1 Th 0.0758 0.0000 0.4556
2 Th 0.1405 0.5000 0.8023
3 P 0.0978 0.0000 0.6817
4 I 0.0486 0.5000 0.2516
5 I 0.1584 0.0000 0.0127
6 I 0.2194 0.5000 0.6108

For the calculated volume, the calculation gives 952.5 Å³ per cell. For the density, the calculation gives 6107 kg/m³. Its total energy is -5.199 eV/atom.

# Ti2PI

A relaxed Ti2PI crystal (PBE-GGA, Alexandria via LeMat-Bulk).

Lattice parameters (Å, degrees): 5.6846 5.6846 12.8633 90.00 90.00 90.00
Space group I-42d (No. 122)
Inequivalent atoms, fractional coordinates:
1 Ti 0.1845 0.2500 0.1250
2 P 0.0000 0.0000 0.0000
3 I 0.0000 0.0000 0.5000

For the calculated volume, the calculation gives 415.7 Å³ per cell. For the density, the calculation gives 4053 kg/m³. Its total energy is -5.772 eV/atom.

# TiP2I

A relaxed TiP2I crystal (PBE-GGA, Alexandria via LeMat-Bulk).

Lattice parameters (Å, degrees): 5.9345 5.9345 13.0236 90.00 90.00 90.00
Space group I-42d (No. 122)
Inequivalent atoms, fractional coordinates:
1 Ti 0.0000 0.0000 0.0000
2 P 0.1460 0.2500 0.1250
3 I 0.0000 0.0000 0.5000

For the calculated volume, the calculation gives 458.7 Å³ per cell. For the density, the calculation gives 3428 kg/m³. Its total energy is -4.763 eV/atom.

# TiPI3

A relaxed TiPI3 crystal (PBE-GGA, Alexandria via LeMat-Bulk).

Lattice parameters (Å, degrees): 5.6077 5.6077 5.6077 90.00 90.00 90.00
Space group Pm-3m (No. 221)
Inequivalent atoms, fractional coordinates:
1 Ti 0.0000 0.0000 0.0000
2 P 0.5000 0.5000 0.5000
3 I 0.0000 0.0000 0.5000

For the calculated volume, the calculation gives 176.3 Å³ per cell. For the density, the calculation gives 4327 kg/m³. Its total energy is -3.346 eV/atom.

# TiP3I

A relaxed TiP3I crystal (PBE-GGA, Alexandria via LeMat-Bulk).

Lattice parameters (Å, degrees): 4.9796 4.9796 4.9796 90.00 90.00 90.00
Space group Pm-3m (No. 221)
Inequivalent atoms, fractional coordinates:
1 Ti 0.0000 0.0000 0.0000
2 P 0.0000 0.5000 0.5000
3 I 0.5000 0.5000 0.5000

For the calculated volume, the calculation gives 123.5 Å³ per cell. For the density, the calculation gives 3600 kg/m³. Its total energy is -3.559 eV/atom.

# Ti3PI

A relaxed Ti3PI crystal (PBE-GGA, Alexandria via LeMat-Bulk).

Lattice parameters (Å, degrees): 4.6844 4.6844 4.6844 90.00 90.00 90.00
Space group Pm-3m (No. 221)
Inequivalent atoms, fractional coordinates:
1 Ti 0.0000 0.0000 0.5000
2 P 0.0000 0.0000 0.0000
3 I 0.5000 0.5000 0.5000

For the calculated volume, the calculation gives 102.8 Å³ per cell. For the density, the calculation gives 4870 kg/m³. Its total energy is -6.098 eV/atom.

# TiPI2

A relaxed TiPI2 crystal (PBE-GGA, Alexandria via LeMat-Bulk).

Lattice parameters (Å, degrees): 7.0931 7.0931 7.0931 90.00 90.00 90.00
Space group Fm-3m (No. 225)
Inequivalent atoms, fractional coordinates:
1 Ti 0.0000 0.0000 0.0000
2 P 0.0000 0.0000 0.5000
3 I 0.2500 0.2500 0.2500

For the calculated volume, the calculation gives 356.9 Å³ per cell. For the density, the calculation gives 6191 kg/m³. Its total energy is -3.610 eV/atom.

# TiP3I

A relaxed TiP3I crystal (PBE-GGA, Alexandria via LeMat-Bulk).

Lattice parameters (Å, degrees): 4.8003 4.8003 4.8003 90.00 90.00 90.00
Space group Pm-3m (No. 221)
Inequivalent atoms, fractional coordinates:
1 Ti 0.0000 0.0000 0.0000
2 P 0.0000 0.0000 0.5000
3 I 0.5000 0.5000 0.5000

For the calculated volume, the calculation gives 110.6 Å³ per cell. For the density, the calculation gives 4019 kg/m³. Its total energy is -4.761 eV/atom.

# Ti3PI

A relaxed Ti3PI crystal (PBE-GGA, Alexandria via LeMat-Bulk).

Lattice parameters (Å, degrees): 4.9640 4.9640 4.9640 90.00 90.00 90.00
Space group Pm-3m (No. 221)
Inequivalent atoms, fractional coordinates:
1 Ti 0.0000 0.0000 0.5000
2 P 0.5000 0.5000 0.5000
3 I 0.0000 0.0000 0.0000

For the calculated volume, the calculation gives 122.3 Å³ per cell. For the density, the calculation gives 4093 kg/m³. Its total energy is -4.940 eV/atom.

# TiP2I

A relaxed TiP2I crystal (PBE-GGA, Alexandria via LeMat-Bulk).

Lattice parameters (Å, degrees): 6.6338 6.6338 6.6338 90.00 90.00 90.00
Space group Fm-3m (No. 225)
Inequivalent atoms, fractional coordinates:
1 Ti 0.0000 0.0000 0.0000
2 P 0.2500 0.2500 0.2500
3 I 0.0000 0.0000 0.5000

For the calculated volume, the calculation gives 291.9 Å³ per cell. For the density, the calculation gives 5386 kg/m³. Its total energy is -4.445 eV/atom.

# TiPI3

A relaxed TiPI3 crystal (PBE-GGA, Alexandria via LeMat-Bulk).

Lattice parameters (Å, degrees): 5.4892 5.4892 5.4892 90.00 90.00 90.00
Space group Pm-3m (No. 221)
Inequivalent atoms, fractional coordinates:
1 Ti 0.0000 0.0000 0.0000
2 P 0.5000 0.5000 0.5000
3 I 0.0000 0.5000 0.5000

For the calculated volume, the calculation gives 165.4 Å³ per cell. For the density, the calculation gives 4614 kg/m³. Its total energy is -2.840 eV/atom.

# TiPI2

A relaxed TiPI2 crystal (PBE-GGA, Alexandria via LeMat-Bulk).

Lattice parameters (Å, degrees): 10.3332 10.3332 4.7426 90.00 90.00 90.00
Space group I-42d (No. 122)
Inequivalent atoms, fractional coordinates:
1 Ti 0.0000 0.0000 0.0000
2 P 0.0000 0.0000 0.5000
3 I 0.0916 0.2500 0.1250

For the calculated volume, the calculation gives 506.4 Å³ per cell. For the density, the calculation gives 4363 kg/m³. Its total energy is -4.267 eV/atom.

# Ti2PI

A relaxed Ti2PI crystal (PBE-GGA, Alexandria via LeMat-Bulk).

Lattice parameters (Å, degrees): 6.5312 6.5312 6.5312 90.00 90.00 90.00
Space group Fm-3m (No. 225)
Inequivalent atoms, fractional coordinates:
1 Ti 0.2500 0.2500 0.2500
2 P 0.0000 0.0000 0.0000
3 I 0.0000 0.0000 0.5000

For the calculated volume, the calculation gives 278.6 Å³ per cell. For the density, the calculation gives 6046 kg/m³. Its total energy is -5.918 eV/atom.

# TiPI

A relaxed TiPI crystal (PBE-GGA, Alexandria via LeMat-Bulk).

Lattice parameters (Å, degrees): 9.1101 9.1101 3.7890 90.00 90.00 90.00
Space group P4_2/m (No. 84)
Inequivalent atoms, fractional coordinates:
1 Ti 0.1936 0.2303 0.0000
2 P 0.0678 0.7860 0.0000
3 I 0.2212 0.4653 0.5000

For the calculated volume, the calculation gives 314.5 Å³ per cell. For the density, the calculation gives 4346 kg/m³. Its total energy is -5.418 eV/atom.

# Tl2PI

A relaxed Tl2PI crystal (PBE-GGA, Alexandria via LeMat-Bulk).

Lattice parameters (Å, degrees): 7.8058 7.8058 7.8058 90.00 90.00 90.00
Space group Fm-3m (No. 225)
Inequivalent atoms, fractional coordinates:
1 Tl 0.2500 0.2500 0.2500
2 P 0.0000 0.0000 0.0000
3 I 0.0000 0.0000 0.5000

For the calculated volume, the calculation gives 475.6 Å³ per cell. For the density, the calculation gives 7913 kg/m³. Its total energy is -2.663 eV/atom.